<1>
Material: Hf2Be2Hg
Method: DFT, PBE
State: optimized geometry

Summary:
**Calculated density**: 11.86 g cm⁻³
**SG**: Cmmm, No. 65

a = 3.405 Å, b = 3.734 Å, c = 6.610 Å
α = 106.41°, β = 90.00°, γ = 90.00°
Element x y z (fractional)
Be 0.000 0.205 0.409
Be 0.000 0.795 0.591
Hf 0.500 0.640 0.280
Hf 0.500 0.360 0.720
Hg 0.000 0.000 0.000

<2>
Material: Hf2Be2Hg
Method: DFT, PBE
State: optimized geometry

Summary:
**Calculated density**: 12.01 g cm⁻³
**SG**: P4/mbm, No. 127

a = 6.327 Å, b = 6.327 Å, c = 3.975 Å
α = 90.00°, β = 90.00°, γ = 90.00°
Element x y z (fractional)
Hf 0.669 0.831 0.500
Hf 0.169 0.669 0.500
Hf 0.331 0.169 0.500
Hf 0.831 0.331 0.500
Be 0.878 0.622 0.000
Be 0.122 0.378 0.000
Be 0.378 0.878 0.000
Be 0.622 0.122 0.000
Hg 0.500 0.500 0.000
Hg 0.000 0.000 0.000

Stability verdict: <2>, ahead by 0.016 eV/atom

<1>
Material: HfBeI2N
Method: DFT, PBE
State: optimized geometry

Summary:
**Calculated density**: 7.76 g cm⁻³
**SG**: P4/mmm, No. 123

a = 5.428 Å, b = 5.428 Å, c = 3.308 Å
α = 90.00°, β = 90.00°, γ = 90.00°
Element x y z (fractional)
Hf 0.500 0.500 0.500
I 0.000 0.500 0.000
I 0.500 0.000 0.000
Be 0.000 0.000 0.000
N 0.000 0.000 0.500

<2>
Material: HfBeI2N
Method: DFT, PBE
State: optimized geometry

Summary:
**Calculated density**: 5.48 g cm⁻³
**SG**: P4/mmm, No. 123

a = 5.885 Å, b = 5.885 Å, c = 3.980 Å
α = 90.00°, β = 90.00°, γ = 90.00°
Element x y z (fractional)
Hf 0.000 0.000 0.000
N 0.000 0.000 0.500
I 0.000 0.500 0.000
I 0.500 0.000 0.000
Be 0.500 0.500 0.500

Stability verdict: <2>, ahead by 0.138 eV/atom

<1>
Material: HfBeI2O
Method: DFT, PBE
State: optimized geometry

Summary:
**Calculated density**: 7.52 g cm⁻³
**SG**: P4/mmm, No. 123

a = 5.598 Å, b = 5.598 Å, c = 3.223 Å
α = 90.00°, β = 90.00°, γ = 90.00°
Element x y z (fractional)
O 0.000 0.000 0.500
I 0.500 0.000 0.000
I 0.000 0.500 0.000
Be 0.000 0.000 0.000
Hf 0.500 0.500 0.500

<2>
Material: HfBeI2O
Method: DFT, PBE
State: optimized geometry

Summary:
**Calculated density**: 5.64 g cm⁻³
**SG**: P4/mmm, No. 123

a = 5.827 Å, b = 5.827 Å, c = 3.966 Å
α = 90.00°, β = 90.00°, γ = 90.00°
Element x y z (fractional)
O 0.000 0.000 0.500
I 0.000 0.500 0.000
I 0.500 0.000 0.000
Be 0.500 0.500 0.500
Hf 0.000 0.000 0.000

Stability verdict: <2>, ahead by 0.160 eV/atom

<1>
Material: HfBeIO2
Method: DFT, PBE
State: optimized geometry

Summary:
**Calculated density**: 8.18 g cm⁻³
**SG**: P4/mmm, No. 123

a = 3.915 Å, b = 3.915 Å, c = 4.588 Å
α = 90.00°, β = 90.00°, γ = 90.00°
Element x y z (fractional)
O 0.500 0.000 0.000
O 0.000 0.500 0.000
I 0.000 0.000 0.500
Hf 0.500 0.500 0.500
Be 0.000 0.000 0.000

<2>
Material: HfBeIO2
Method: DFT, PBE
State: optimized geometry

Summary:
**Calculated density**: 5.83 g cm⁻³
**SG**: P4/mmm, No. 123

a = 4.013 Å, b = 4.013 Å, c = 6.129 Å
α = 90.00°, β = 90.00°, γ = 90.00°
Element x y z (fractional)
O 0.500 0.000 0.000
O 0.000 0.500 0.000
I 0.000 0.000 0.500
Hf 0.000 0.000 0.000
Be 0.500 0.500 0.500

Stability verdict: <2>, ahead by 0.908 eV/atom